# 1
# CeYAgHg (PBE, optimized geometry)
# ΔE_f: -0.277 eV per atom
# Crystal system: cubic
# DFT total energy: -0.1530 Ha/atom
data_CeYAgHg
_chemical_formula_sum 'Ce1 Y1 Ag1 Hg1'
_cell_length_a 5.290
_cell_length_b 5.290
_cell_length_c 5.290
_cell_angle_alpha 60.00
_cell_angle_beta 60.00
_cell_angle_gamma 60.00
_space_group_name_H-M_alt 'P 1'
_space_group_IT_number 1
loop_
_space_group_symop_operation_xyz
'x,y,z'
loop_
_atom_site_label
_atom_site_type_symbol
_atom_site_fract_x
_atom_site_fract_y
_atom_site_fract_z
_atom_site_occupancy
Y1 Y 0.250 0.250 0.250 1
Ag1 Ag 0.000 0.000 0.000 1
Hg1 Hg 0.500 0.500 0.500 1
Ce1 Ce 0.750 0.750 0.750 1


# 2
# CeHo3Ag2 (PBE, optimized geometry)
# ΔE_f: -0.174 eV per atom
# Crystal system: tetragonal
# DFT total energy: -0.1618 Ha/atom
data_CeHo3Ag2
_chemical_formula_sum 'Ce1 Ho3 Ag2'
_cell_length_a 3.591
_cell_length_b 3.591
_cell_length_c 12.087
_cell_angle_alpha 90.00
_cell_angle_beta 90.00
_cell_angle_gamma 90.00
_space_group_name_H-M_alt 'P 1'
_space_group_IT_number 1
loop_
_space_group_symop_operation_xyz
'x,y,z'
loop_
_atom_site_label
_atom_site_type_symbol
_atom_site_fract_x
_atom_site_fract_y
_atom_site_fract_z
_atom_site_occupancy
Ce1 Ce 0.500 0.500 0.500 1
Ho1 Ho 0.000 0.000 0.000 1
Ho2 Ho 0.000 0.000 0.699 1
Ho3 Ho 0.000 0.000 0.301 1
Ag1 Ag 0.500 0.500 0.848 1
Ag2 Ag 0.500 0.500 0.152 1


# 3
# Ce2HoAg (PBE, optimized geometry)
# Distance to the lowest polymorph of the same formula: 123 meV per atom
# ΔE_f: 0.182 eV per atom
# Crystal system: cubic
# DFT total energy: -0.1706 Ha/atom
data_Ce2HoAg
_chemical_formula_sum 'Ce2 Ho1 Ag1'
_cell_length_a 5.371
_cell_length_b 5.371
_cell_length_c 5.372
_cell_angle_alpha 60.01
_cell_angle_beta 60.01
_cell_angle_gamma 60.00
_space_group_name_H-M_alt 'P 1'
_space_group_IT_number 1
loop_
_space_group_symop_operation_xyz
'x,y,z'
loop_
_atom_site_label
_atom_site_type_symbol
_atom_site_fract_x
_atom_site_fract_y
_atom_site_fract_z
_atom_site_occupancy
Ag1 Ag 0.500 0.500 0.500 1
Ho1 Ho 0.000 0.000 0.000 1
Ce1 Ce 0.750 0.750 0.750 1
Ce2 Ce 0.250 0.250 0.250 1


Question: Among the records above, which one has the highest ΔE_f?
Answer: Ce2HoAg